# CePd3Se3, optimized geometry, DFT PBE-GGA
# energy: -222.94 eV per cell
# formation energy without anion corrections: -0.742 eV per atom
data_CePd3Se3
_chemical_formula_sum 'Ce6 Pd18 Se18'
_cell_length_a 7.1857
_cell_length_b 7.1857
_cell_length_c 20.2397
_cell_angle_alpha 90.00
_cell_angle_beta 90.00
_cell_angle_gamma 120.00
_symmetry_space_group_name_H-M 'R -3'
_symmetry_Int_Tables_number 148
_symmetry_space_group_name_Hall '-R 3'
loop_
_atom_site_label
_atom_site_fract_x
_atom_site_fract_y
_atom_site_fract_z
Ce1 0.0000 0.0000 0.1668
Pd1 0.0035 0.6508 0.3752
Se1 0.0029 0.6795 0.5785